(1)
# Nd8Ga3AsI4, optimized geometry, DFT GGA-PBE
# Total magnetic moment: 0.00 μB/cell
# Raw formation energy: -0.91 eV per atom
data_Nd8Ga3AsI4
_symmetry_space_group_name_H-M 'R -3 m'
_symmetry_Int_Tables_number 166
_symmetry_space_group_name_Hall '-R 3 2"'
_cell_length_a 8.7622
_cell_length_b 8.7622
_cell_length_c 22.7691
_cell_angle_alpha 90.00
_cell_angle_beta 90.00
_cell_angle_gamma 120.00
loop_
_atom_site_label
_atom_site_type_symbol
_atom_site_fract_x
_atom_site_fract_y
_atom_site_fract_z
_atom_site_occupancy
Nd1 Nd 0.0000 0.0000 0.2360 1
Nd2 Nd 0.0017 0.5008 0.7651 1
Ga1 Ga 0.0000 0.5000 0.5000 1
As1 As 0.0000 0.0000 0.5000 1
I1 I 0.0000 0.0000 0.0000 1
I2 I 0.0000 0.5000 0.0000 1

=====

(2)
# GaAsIO2, optimized geometry, DFT GGA-PBE
# ΔE to the lowest computed polymorph: 8.8 kJ per mole of atoms
# Total magnetic moment: 1.25 μB/cell
# Raw formation energy: -0.09 eV per atom
data_GaAsIO2
_symmetry_space_group_name_H-M 'P 4/m m m'
_symmetry_Int_Tables_number 123
_symmetry_space_group_name_Hall '-P 4 2'
_cell_length_a 3.860
_cell_length_b 3.860
_cell_length_c 7.308
_cell_angle_alpha 90.00
_cell_angle_beta 90.00
_cell_angle_gamma 90.00
loop_
_atom_site_label
_atom_site_type_symbol
_atom_site_fract_x
_atom_site_fract_y
_atom_site_fract_z
_atom_site_occupancy
Ga1 Ga 0.000 0.000 0.000 1
As1 As 0.500 0.500 0.500 1
I1 I 0.000 0.000 0.500 1
O1 O 0.000 0.500 0.000 1